This record from Alexandria describes a geometry-optimized Tl3HgTe structure. The functional is GGA-PBE.

Lattice parameters (Å, degrees): 5.431 6.872 9.050 89.95 107.13 89.99
Positions (direct):
1 Tl 0.433 0.167 0.351
2 Tl 0.236 0.331 0.947
3 Tl 0.820 0.667 0.112
4 Tl 0.017 0.832 0.515
5 Tl 0.609 0.524 0.700
6 Tl 0.644 0.024 0.763
7 Hg 0.215 0.826 0.905
8 Hg 0.037 0.327 0.558
9 Te 0.823 0.159 0.127
10 Te 0.430 0.659 0.336

Properties
Relative energy among the computed polymorphs: 0.000 eV per atom
E_tot: -11.2 eV per formula unit